1.
Compound: Ca3Si2AsPt9
Source: Alexandria
Functional: PBE
Structure: relaxed

## Properties
**Space group**: P-3m1 (164)
**Total magnetization**: 0.0000 μB/atom
**E_form (uncorrected)**: -0.615 eV per atom
**Crystal system**: trigonal

Unit cell a=6.4915 b=6.4915 c=8.4232 alpha=90.00 beta=90.00 gamma=120.00
Fractional positions:
1 Pt 0.1435 0.2870 0.2771
2 Pt 0.0000 0.5000 0.0000
3 Pt 0.2870 0.1435 0.7229
4 Pt 0.8565 0.1435 0.7229
5 Pt 0.8565 0.7130 0.7229
6 Pt 0.5000 0.0000 0.0000
7 Pt 0.1435 0.8565 0.2771
8 Pt 0.5000 0.5000 0.0000
9 Pt 0.7130 0.8565 0.2771
10 Si 0.6667 0.3333 0.8154
11 Si 0.3333 0.6667 0.1846
12 Ca 0.0000 0.0000 0.0000
13 Ca 0.6667 0.3333 0.3105
14 Ca 0.3333 0.6667 0.6895
15 As 0.0000 0.0000 0.5000


2.
Compound: Fe4C5
Source: Alexandria
Functional: PBE
Structure: relaxed

## Properties
**Formation enthalpy at 0 K**: 1.169 eV per atom
**Space group**: P6_3/mcm (193)
**Total magnetization**: 0.0988 μB/atom
**Crystal system**: hexagonal
**Energy above the lowest structure with this stoichiometry**: 232 meV per atom

Unit cell a=5.7746 b=5.7746 c=4.8960 alpha=90.00 beta=90.00 gamma=120.00
Fractional positions:
1 Fe 0.0000 0.0000 0.5000
2 Fe 0.4194 0.0000 0.2500
3 Fe 0.5806 0.5806 0.2500
4 Fe 0.5806 0.0000 0.7500
5 Fe 0.0000 0.0000 0.0000
6 Fe 0.0000 0.5806 0.7500
7 Fe 0.4194 0.4194 0.7500
8 Fe 0.0000 0.4194 0.2500
9 C 0.3333 0.6667 0.0000
10 C 0.2638 0.0000 0.7500
11 C 0.6667 0.3333 0.5000
12 C 0.0000 0.2638 0.7500
13 C 0.0000 0.7362 0.2500
14 C 0.6667 0.3333 0.0000
15 C 0.7362 0.7362 0.7500
16 C 0.3333 0.6667 0.5000
17 C 0.7362 0.0000 0.2500
18 C 0.2638 0.2638 0.2500


3.
Compound: KBe2In
Source: Alexandria
Functional: PBE
Structure: relaxed

## Properties
**Formation enthalpy at 0 K**: 0.941 eV per atom
**Space group**: F222 (22)
**Total magnetization**: 0.0000 μB/atom
**Crystal system**: orthorhombic

Unit cell a=4.8646 b=4.8647 c=4.8517 alpha=120.13 beta=120.13 gamma=89.84
Fractional positions:
1 Be 0.0000 0.0000 0.0000
2 Be 0.2499 0.7501 0.5000
3 K 0.7501 0.2499 0.5000
4 In 0.4999 0.5001 0.0000


4.
Compound: LuPaInAg
Source: Alexandria
Functional: PBE
Structure: relaxed

## Properties
**Formation enthalpy at 0 K**: 0.036 eV per atom
**Space group**: F-43m (216)
**Total magnetization**: 0.4436 μB/atom
**Crystal system**: cubic

Unit cell a=5.2111 b=5.2111 c=5.2111 alpha=60.00 beta=60.00 gamma=60.00
Fractional positions:
1 In 0.2500 0.2500 0.2500
2 Ag 0.7500 0.7500 0.7500
3 Pa 0.0000 0.0000 0.0000
4 Lu 0.5000 0.5000 0.5000


Q: The highest total magnetization belongs to which entry?
A: LuPaInAg